CeSb2Pb: optimized geometry, PBE-GGA.

a b c (Å): 4.1626 4.1626 6.6532
angles (deg): 90.00 90.00 90.00
Closest atoms and distances in Å follow each position.
Element x y z (fractional)
1 Pb 0.5000 0.5000 0.0000  2 Ce 3.33, 8 Sb 3.44
2 Sb 0.0000 0.0000 0.7333  1 Sb 3.10, 4 Ce 3.33, 4 Pb 3.44
3 Sb 0.0000 0.0000 0.2667  1 Sb 3.10, 4 Ce 3.33, 4 Pb 3.44
4 Ce 0.5000 0.5000 0.5000  2 Pb 3.33, 8 Sb 3.33

Calculated values
offset from the most stable computed form = 0.038 eV/atom
energy relative to the elements, uncorrected = -0.497 eV/atom
N(E_F) = 4.94 states/eV per cell

=====

CeSb2Pb: optimized geometry, PBE-GGA.

a b c (Å): 4.5917 4.5917 7.8687
angles (deg): 73.04 73.04 60.00
Closest atoms and distances in Å follow each position.
Element x y z (fractional)
1 Ce 0.6668 0.6668 0.9997  6 Sb 3.12-3.17
2 Sb 0.0781 0.0781 0.7656  3 Ce 3.17, 3 Pb 3.24
3 Sb 0.2597 0.2597 0.2208  3 Ce 3.12, 3 Pb 3.43
4 Pb 0.4954 0.4954 0.5139  6 Sb 3.24-3.43

Calculated values
offset from the most stable computed form = 0.112 eV/atom
energy relative to the elements, uncorrected = -0.424 eV/atom
N(E_F) = 1.24 states/eV per cell

=====

Ce7Sb2Pb: optimized geometry, PBE-GGA.

a b c (Å): 5.3123 5.3123 11.8655
angles (deg): 90.00 90.00 120.00
Closest atoms and distances in Å follow each position.
Element x y z (fractional)
1 Ce 0.6667 0.3333 0.6171  4 Ce 2.79-3.09
2 Ce 0.6667 0.3333 0.8522  2 Ce 2.76-2.79
3 Ce 0.0000 0.0000 0.6487  3 Ce 3.09, 3 Sb 3.23
4 Ce 0.0000 0.0000 0.2561  3 Sb 3.27, 1 Pb 3.46
5 Ce 0.3333 0.6667 0.4517  4 Sb 3.29-3.34, 3 Ce 3.64
6 Ce 0.3333 0.6667 0.0565  3 Ce 3.09, 3 Pb 3.25
7 Ce 0.6667 0.3333 0.0847  4 Ce 2.76-3.09
8 Sb 0.3333 0.6667 0.7333  10 Ce 3.23-3.38
9 Sb 0.6667 0.3333 0.3517  8 Ce 3.15-3.29
10 Pb 0.0000 0.0000 0.9647  10 Ce 3.25-3.46

Calculated values
energy relative to the elements, uncorrected = -0.376 eV/atom
N(E_F) = 33.38 states/eV per cell

=====

Ce3Sb3Pb: optimized geometry, PBE-GGA.

a b c (Å): 9.4148 9.4148 8.3646
angles (deg): 55.75 55.75 60.00
Closest atoms and distances in Å follow each position.
Element x y z (fractional)
1 Ce 0.2564 0.5572 0.2396  5 Sb 3.14-3.24, 1 Pb 3.32
2 Ce 0.9468 0.2564 0.2396  5 Sb 3.14-3.24, 1 Pb 3.32
3 Ce 0.5572 0.9468 0.2396  5 Sb 3.14-3.24, 1 Pb 3.32
4 Ce 0.4428 0.0532 0.7604  5 Sb 3.14-3.24, 1 Pb 3.32
5 Ce 0.0532 0.7436 0.7604  5 Sb 3.14-3.24, 1 Pb 3.32
6 Ce 0.7436 0.4428 0.7604  5 Sb 3.14-3.24, 1 Pb 3.32
7 Sb 0.3898 0.7629 0.7330  5 Ce 3.14-3.24, 1 Pb 3.44
8 Sb 0.7629 0.1143 0.7330  5 Ce 3.14-3.24, 1 Pb 3.44
9 Sb 0.1143 0.3898 0.7330  5 Ce 3.14-3.24, 1 Pb 3.44
10 Sb 0.8857 0.6102 0.2670  5 Ce 3.14-3.24, 1 Pb 3.44
11 Sb 0.2371 0.8857 0.2670  5 Ce 3.14-3.24, 1 Pb 3.44
12 Sb 0.6102 0.2371 0.2670  5 Ce 3.14-3.24, 1 Pb 3.44
13 Pb 0.3406 0.3406 0.9783  6 Ce 3.32-3.54, 3 Sb 3.44
14 Pb 0.6594 0.6594 0.0217  6 Ce 3.32-3.54, 3 Sb 3.44

Calculated values
energy relative to the elements, uncorrected = -0.622 eV/atom
N(E_F) = 35.13 states/eV per cell

=====

Ce2Sb4Pb: optimized geometry, PBE-GGA.

a b c (Å): 4.3503 4.3503 11.6629
angles (deg): 90.00 90.00 90.00
Closest atoms and distances in Å follow each position.
Element x y z (fractional)
1 Ce 0.5000 0.0000 0.7125  8 Sb 3.23-3.30
2 Ce 0.0000 0.5000 0.2875  8 Sb 3.23-3.30
3 Sb 0.5000 0.0000 0.2031  2 Pb 3.22, 4 Ce 3.23
4 Sb 0.0000 0.5000 0.7969  2 Pb 3.22, 4 Ce 3.23
5 Sb 0.5000 0.5000 0.5000  4 Sb 3.08, 4 Ce 3.30
6 Sb 0.0000 0.0000 0.5000  4 Sb 3.08, 4 Ce 3.30
7 Pb 0.5000 0.5000 0.0000  4 Sb 3.22

Calculated values
energy relative to the elements, uncorrected = -0.609 eV/atom
N(E_F) = 13.15 states/eV per cell

=====

Ce2SbPb2: optimized geometry, PBE-GGA.

a b c (Å): 4.3329 4.3329 8.7008
angles (deg): 104.42 104.42 90.00
Closest atoms and distances in Å follow each position.
Element x y z (fractional)
1 Ce 0.4130 0.4130 0.8260  1 Ce 2.83
2 Ce 0.5870 0.5870 0.1740  1 Ce 2.83
3 Sb 0.0000 0.0000 0.0000  8 Ce 3.38
4 Pb 0.7500 0.2500 0.5000  4 Pb 3.06, 4 Ce 3.43
5 Pb 0.2500 0.7500 0.5000  4 Pb 3.06, 4 Ce 3.43

Calculated values
energy relative to the elements, uncorrected = -0.431 eV/atom
N(E_F) = 8.35 states/eV per cell

=====

Ce4SbPb: optimized geometry, PBE-GGA.

a b c (Å): 7.1337 8.1999 8.7705
angles (deg): 117.87 114.00 90.00
Closest atoms and distances in Å follow each position.
Element x y z (fractional)
1 Ce 0.9999 0.2248 0.9999  2 Sb 3.19, 2 Pb 3.32, 4 Ce 3.47-3.57
2 Ce 0.5000 0.7751 0.9999  2 Sb 3.19, 2 Pb 3.32, 4 Ce 3.47-3.57
3 Ce 0.3069 0.5000 0.5000  1 Ce 2.76
4 Ce 0.6931 0.5000 0.5000  1 Ce 2.76
5 Ce 0.3068 0.0000 0.5000  1 Ce 2.76
6 Ce 0.5000 0.2249 0.0001  2 Sb 3.19, 2 Pb 3.32, 4 Ce 3.47-3.57
7 Ce 0.6932 0.0000 0.5000  1 Ce 2.76
8 Ce 0.0001 0.7752 0.0001  2 Sb 3.19, 2 Pb 3.32, 4 Ce 3.47-3.57
9 Sb 0.3508 0.6008 0.2015  8 Ce 3.19-3.21
10 Sb 0.6492 0.3992 0.7985  8 Ce 3.19-3.21
11 Pb 0.0975 0.8475 0.6950  8 Ce 3.29-3.32
12 Pb 0.9025 0.1525 0.3050  8 Ce 3.29-3.32

Calculated values
offset from the most stable computed form = 0.058 eV/atom
energy relative to the elements, uncorrected = -0.227 eV/atom
N(E_F) = 44.41 states/eV per cell

=====

Ce4Sb5Pb: optimized geometry, PBE-GGA.

a b c (Å): 5.8374 6.4454 9.6652
angles (deg): 69.77 107.58 90.00
Closest atoms and distances in Å follow each position.
Element x y z (fractional)
1 Ce 0.3310 0.8959 0.6619  7 Sb 3.18-3.36, 1 Pb 3.42
2 Ce 0.0104 0.7350 0.0208  6 Sb 3.17-3.45, 2 Ce 3.19-3.30, 2 Pb 3.35
3 Ce 0.6690 0.1041 0.3381  7 Sb 3.18-3.36, 1 Pb 3.42
4 Ce 0.9896 0.2650 0.9792  6 Sb 3.17-3.45, 2 Ce 3.19-3.30, 2 Pb 3.35
5 Sb 0.8308 0.6798 0.6617  2 Sb 3.06-3.39, 4 Ce 3.17-3.23
6 Sb 0.8353 0.1497 0.6707  2 Sb 3.06-3.39, 5 Ce 3.18-3.36
7 Sb 0.1647 0.8503 0.3293  2 Sb 3.06-3.39, 5 Ce 3.18-3.36
8 Sb 0.5000 0.5000 0.0000  2 Pb 3.22, 6 Ce 3.23-3.33
9 Sb 0.1692 0.3202 0.3383  2 Sb 3.06-3.39, 4 Ce 3.17-3.23
10 Pb 0.5000 0.0000 0.0000  2 Sb 3.22, 6 Ce 3.35-3.42

Calculated values
offset from the most stable computed form = 0.131 eV/atom
energy relative to the elements, uncorrected = -0.621 eV/atom
N(E_F) = 19.87 states/eV per cell